1.
## Zr2SiB (PBE)

Data for an optimized crystal structure of Zr2SiB.

Cell: 3.441 3.441 13.594 Å, 90.00 90.00 120.00°
Element x y z (fractional)
Zr (0.333, 0.667, 0.099)
Zr (0.333, 0.667, 0.401)
Zr (0.667, 0.333, 0.599)
Zr (0.667, 0.333, 0.901)
Si (0.333, 0.667, 0.750)
Si (0.667, 0.333, 0.250)
B (0.000, 0.000, 0.000)
B (0.000, 0.000, 0.500)

Computed properties:
Raw total energy (eV/cell): -62.6
Total magnetization (μB/cell): 0.0

***

2.
## NbNiSnPd (PBE)

Data for an optimized crystal structure of NbNiSnPd.

Cell: 6.383 6.383 6.383 Å, 90.00 90.00 90.00°
Element x y z (fractional)
Nb (0.000, 0.000, 0.000)
Nb (0.000, 0.500, 0.500)
Nb (0.500, 0.000, 0.500)
Nb (0.500, 0.500, 0.000)
Ni (0.250, 0.250, 0.750)
Ni (0.250, 0.750, 0.250)
Ni (0.750, 0.250, 0.250)
Ni (0.750, 0.750, 0.750)
Sn (0.000, 0.000, 0.500)
Sn (0.000, 0.500, 0.000)
Sn (0.500, 0.000, 0.000)
Sn (0.500, 0.500, 0.500)
Pd (0.250, 0.250, 0.250)
Pd (0.250, 0.750, 0.750)
Pd (0.750, 0.250, 0.750)
Pd (0.750, 0.750, 0.250)

Computed properties:
Raw total energy (eV/cell): -102.8
Total magnetization (μB/cell): 0.0
Energy relative to the lowest polymorph listed for this composition (eV/atom): 0.000